Material: LiCdHg2
Method: DFT, PBE
State: optimized geometry

Lattice parameters (Å, degrees): 6.9738 6.9738 6.9738 90.00 90.00 90.00
Atoms (fractional coordinates):
Li  0.0000  0.0000  0.0000
Li  0.0000  0.5000  0.5000
Li  0.5000  0.0000  0.5000
Li  0.5000  0.5000  0.0000
Cd  0.2500  0.2500  0.2500
Cd  0.2500  0.7500  0.7500
Cd  0.7500  0.2500  0.7500
Cd  0.7500  0.7500  0.2500
Hg  0.0000  0.0000  0.5000
Hg  0.0000  0.5000  0.0000
Hg  0.2500  0.2500  0.7500
Hg  0.2500  0.7500  0.2500
Hg  0.5000  0.0000  0.0000
Hg  0.5000  0.5000  0.5000
Hg  0.7500  0.2500  0.2500
Hg  0.7500  0.7500  0.7500



Material: LiCd12Hg3
Method: DFT, PBE
State: optimized geometry

Lattice parameters (Å, degrees): 5.4752 5.4752 12.1390 90.00 90.00 90.00
Atoms (fractional coordinates):
Li  0.0000  0.0000  0.0000
Cd  0.0000  0.5000  0.1216
Cd  0.0000  0.5000  0.3743
Cd  0.0000  0.5000  0.6257
Cd  0.0000  0.5000  0.8784
Cd  0.5000  0.0000  0.1216
Cd  0.5000  0.0000  0.3743
Cd  0.5000  0.0000  0.6257
Cd  0.5000  0.0000  0.8784
Cd  0.5000  0.5000  0.0000
Cd  0.5000  0.5000  0.2502
Cd  0.5000  0.5000  0.5000
Cd  0.5000  0.5000  0.7498
Hg  0.0000  0.0000  0.2334
Hg  0.0000  0.0000  0.5000
Hg  0.0000  0.0000  0.7666



Material: LiCd6Hg6
Method: DFT, PBE
State: optimized geometry

Lattice parameters (Å, degrees): 6.1120 6.1120 9.8519 90.00 90.00 120.00
Atoms (fractional coordinates):
Li  0.0000  0.0000  0.0000
Cd  0.0000  0.5000  0.2492
Cd  0.0000  0.5000  0.7508
Cd  0.5000  0.0000  0.2492
Cd  0.5000  0.0000  0.7508
Cd  0.5000  0.5000  0.2492
Cd  0.5000  0.5000  0.7508
Hg  0.0000  0.0000  0.3456
Hg  0.0000  0.0000  0.6544
Hg  0.3333  0.6667  0.0000
Hg  0.3333  0.6667  0.5000
Hg  0.6667  0.3333  0.0000
Hg  0.6667  0.3333  0.5000



Material: LiCdHg2
Method: DFT, PBE
State: optimized geometry

Lattice parameters (Å, degrees): 6.6357 6.6451 3.8860 90.00 90.00 90.00
Atoms (fractional coordinates):
Li  0.0000  0.0000  0.0000
Li  0.5000  0.5000  0.0000
Cd  0.0000  0.5000  0.0000
Cd  0.5000  0.0000  0.0000
Hg  0.2500  0.2500  0.5000
Hg  0.2500  0.7500  0.5000
Hg  0.7500  0.2500  0.5000
Hg  0.7500  0.7500  0.5000



Number 1: E_form -157.7 meV per atom. Number 2: E_form -26.9 meV per atom. Number 3: E_form 4.0 meV per atom. Number 4: E_form -184.7 meV per atom.